(1)
Here is a relaxed structure of AcIn4Ag from Alexandria via LeMat-Bulk. Energies are from GGA-PBE.

a b c (Å): 4.688 7.688 9.259
angles (deg): 90.00 104.66 90.00
Fractional positions:
In 0.680 0.949 0.360
In 0.320 0.051 0.640
Ac 0.883 0.750 0.766
In 0.500 0.000 0.000
In 0.680 0.551 0.360
In 0.500 0.500 0.000
In 0.320 0.449 0.640
Ac 0.117 0.250 0.234
Ag 0.772 0.250 0.545
In 0.071 0.750 0.141
Ag 0.228 0.750 0.455
In 0.929 0.250 0.859

Output
DFT formation energy	-1.777	eV/f.u.
energy above the most stable polymorph in this dataset	0.000	eV/f.u.
symmetry	Cmcm, No. 63

***

(2)
Here is a relaxed structure of TmGe2Ru from Alexandria via LeMat-Bulk. Energies are from GGA-PBE.

a b c (Å): 4.272 6.858 10.156
angles (deg): 90.00 90.00 90.00
Fractional positions:
Ge 0.250 0.890 0.828
Ge 0.750 0.610 0.328
Ru 0.250 0.524 0.891
Ge 0.750 0.705 0.928
Ge 0.250 0.295 0.072
Ru 0.750 0.476 0.109
Tm 0.750 0.189 0.864
Tm 0.250 0.311 0.364
Tm 0.750 0.689 0.636
Ge 0.750 0.110 0.172
Ge 0.750 0.205 0.572
Tm 0.250 0.811 0.136
Ge 0.250 0.390 0.672
Ru 0.750 0.976 0.391
Ge 0.250 0.795 0.428
Ru 0.250 0.024 0.609

Output
DFT formation energy	-2.368	eV/f.u.
symmetry	Pnma, No. 62

***

(3)
Here is a relaxed structure of BaSrLi2Pt2 from Alexandria via LeMat-Bulk. Energies are from GGA-PBE.

a b c (Å): 4.456 4.456 8.554
angles (deg): 90.00 90.00 120.00
Fractional positions:
Li 0.667 0.333 0.267
Ba 0.000 0.000 0.000
Sr 0.000 0.000 0.500
Li 0.333 0.667 0.733
Pt 0.333 0.667 0.260
Pt 0.667 0.333 0.740

Output
DFT formation energy	-3.450	eV/f.u.
symmetry	P-3m1, No. 164

***

(4)
Here is a relaxed structure of TiTlBr5 from Alexandria via LeMat-Bulk. Energies are from GGA-PBE.

a b c (Å): 7.487 7.487 10.182
angles (deg): 71.47 71.47 70.61
Fractional positions:
Tl 0.531 0.469 0.250
Ti 0.000 0.000 0.500
Br 0.310 0.091 0.380
Br 0.829 0.347 0.508
Br 0.091 0.310 0.880
Br 0.653 0.171 0.992
Br 0.347 0.829 0.008
Ti 0.000 0.000 0.000
Br 0.086 0.914 0.750
Br 0.171 0.653 0.492
Br 0.909 0.690 0.120
Br 0.690 0.909 0.620
Br 0.914 0.086 0.250
Tl 0.469 0.531 0.750

Output
formation energy without anion corrections	-1.01	eV per atom
energy above the most stable polymorph in this dataset	0.492	eV/f.u.
symmetry	C2/c, No. 15

***

(5)
Here is a relaxed structure of TiFeI3 from Alexandria via LeMat-Bulk. Energies are from GGA-PBE.

a b c (Å): 5.145 5.145 5.145
angles (deg): 90.00 90.00 90.00
Fractional positions:
Fe 0.000 0.000 0.000
I 0.000 0.500 0.000
I 0.000 0.000 0.500
Ti 0.500 0.500 0.500
I 0.500 0.000 0.000

Output
formation energy without anion corrections	0.80	eV per atom
energy above the most stable polymorph in this dataset	1.701	eV/f.u.
symmetry	Pm-3m, No. 221

***

(6)
Here is a relaxed structure of KBiAu2 from Alexandria via LeMat-Bulk. Energies are from GGA-PBE.

a b c (Å): 4.951 6.907 7.961
angles (deg): 90.00 90.00 111.12
Fractional positions:
Au 0.269 0.537 0.428
K 0.563 0.123 0.250
Au 0.731 0.463 0.928
K 0.437 0.877 0.750
Au 0.269 0.537 0.072
Bi 0.850 0.699 0.250
Au 0.731 0.463 0.572
Bi 0.150 0.301 0.750

Output
DFT formation energy	-0.998	eV/f.u.
symmetry	P2_1/m, No. 11

***

(7)
Here is a relaxed structure of Cs4NaGe3Cl12 from Alexandria via LeMat-Bulk. Energies are from GGA-PBE.

a b c (Å): 9.202 9.202 9.202
angles (deg): 109.47 109.47 109.47
Fractional positions:
Cl 0.738 0.738 0.000
Na 0.000 0.000 0.000
Ge 0.500 0.500 0.000
Cs 0.000 0.000 0.500
Cl 0.500 0.750 0.250
Cl 0.500 0.250 0.750
Cl 0.738 0.000 0.738
Cs 0.500 0.500 0.500
Cl 0.750 0.500 0.250
Cl 0.250 0.500 0.750
Ge 0.500 0.000 0.500
Cs 0.500 0.000 0.000
Cl 0.000 0.262 0.262
Cl 0.750 0.250 0.500
Cs 0.000 0.500 0.000
Cl 0.000 0.738 0.738
Cl 0.262 0.000 0.262
Cl 0.262 0.262 0.000
Ge 0.000 0.500 0.500
Cl 0.250 0.750 0.500

Output
formation energy without anion corrections	-1.40	eV per atom
symmetry	Im-3m, No. 229

***

(8)
Here is a relaxed structure of PmV2Re from Alexandria via LeMat-Bulk. Energies are from GGA-PBE.

a b c (Å): 4.223 4.223 5.847
angles (deg): 68.83 68.83 60.00
Fractional positions:
V 0.801 0.801 0.598
Pm 0.000 0.000 0.000
Re 0.500 0.500 0.500
V 0.199 0.199 0.402

Output
DFT formation energy	0.915	eV/f.u.
symmetry	R-3m, No. 166

***

(9)
Here is a relaxed structure of Ba6IrPt2 from Alexandria via LeMat-Bulk. Energies are from GGA-PBE.

a b c (Å): 7.895 7.895 8.800
angles (deg): 63.35 63.35 60.00
Fractional positions:
Pt 0.174 0.174 0.478
Ba 0.078 0.399 0.746
Ir 0.000 0.000 0.000
Ba 0.223 0.922 0.254
Ba 0.601 0.223 0.254
Ba 0.399 0.777 0.746
Pt 0.826 0.826 0.522
Ba 0.922 0.601 0.254
Ba 0.777 0.078 0.746

Output
DFT formation energy	-3.807	eV/f.u.
symmetry	R-3, No. 148

***

(10)
Here is a relaxed structure of NaLaHg4 from Alexandria via LeMat-Bulk. Energies are from GGA-PBE.

a b c (Å): 6.172 6.173 5.168
angles (deg): 65.36 65.36 86.89
Fractional positions:
Hg 0.104 0.442 0.724
Hg 0.901 0.554 0.270
Hg 0.445 0.098 0.726
La 0.502 0.497 0.998
Na 0.001 0.998 0.498
Hg 0.556 0.895 0.272

Output
DFT formation energy	-2.066	eV/f.u.
energy above the most stable polymorph in this dataset	0.000	eV/f.u.
symmetry	C2, No. 5

***

(11)
Here is a relaxed structure of InCBr from Alexandria via LeMat-Bulk. Energies are from GGA-PBE.

a b c (Å): 4.238 5.338 8.054
angles (deg): 90.00 104.06 90.00
Fractional positions:
In 0.384 0.000 0.471
C 0.617 0.884 0.837
C 0.617 0.116 0.837
In 0.712 0.500 0.873
Br 0.954 0.500 0.564
Br 0.269 0.500 0.112

Output
formation energy without anion corrections	0.13	eV per atom
symmetry	Pm, No. 6

***

(12)
Here is a relaxed structure of KPb2Cl from Alexandria via LeMat-Bulk. Energies are from GGA-PBE.

a b c (Å): 4.127 4.127 8.086
angles (deg): 90.00 90.00 90.00
Fractional positions:
Cl 0.500 0.500 0.250
Pb 0.000 0.000 0.437
K 0.500 0.500 0.750
Pb 0.000 0.000 0.063

Output
formation energy without anion corrections	-0.16	eV per atom
energy above the most stable polymorph in this dataset	2.197	eV/f.u.
symmetry	P4/mmm, No. 123

***

(13)
Here is a relaxed structure of Ba4Tl2CdHg from Alexandria via LeMat-Bulk. Energies are from GGA-PBE.

a b c (Å): 6.024 6.024 10.449
angles (deg): 73.25 73.25 60.00
Fractional positions:
Cd 0.000 0.000 0.000
Ba 0.624 0.624 0.128
Hg 0.500 0.500 0.500
Tl 0.252 0.252 0.245
Tl 0.748 0.748 0.755
Ba 0.874 0.874 0.378
Ba 0.126 0.126 0.622
Ba 0.376 0.376 0.872

Output
DFT formation energy	-3.388	eV/f.u.
symmetry	R-3m, No. 166

***

(14)
Here is a relaxed structure of MgB2C2 from Alexandria via LeMat-Bulk. Energies are from GGA-PBE.

a b c (Å): 7.229 7.229 7.460
angles (deg): 90.00 90.00 98.18
Fractional positions:
B 0.656 0.156 0.750
B 0.344 0.844 0.250
B 0.532 0.787 0.755
Mg 0.848 0.152 0.000
C 0.201 0.450 0.725
B 0.088 0.088 0.225
C 0.080 0.080 0.769
Mg 0.279 0.279 0.990
C 0.550 0.799 0.275
Mg 0.779 0.779 0.510
B 0.713 0.968 0.255
C 0.920 0.920 0.231
C 0.450 0.201 0.725
C 0.701 0.950 0.775
C 0.324 0.824 0.750
C 0.950 0.701 0.775
Mg 0.652 0.348 0.500
B 0.912 0.912 0.775
C 0.676 0.176 0.250
B 0.213 0.468 0.245
C 0.420 0.420 0.269
C 0.050 0.299 0.225
Mg 0.348 0.652 0.500
B 0.032 0.287 0.745
Mg 0.152 0.848 0.000
C 0.799 0.550 0.275
B 0.412 0.412 0.725
C 0.824 0.324 0.750
B 0.156 0.656 0.750
B 0.968 0.713 0.255
B 0.287 0.032 0.745
Mg 0.721 0.721 0.010
B 0.588 0.588 0.275
C 0.580 0.580 0.731
B 0.787 0.532 0.755
B 0.844 0.344 0.250
C 0.176 0.676 0.250
C 0.299 0.050 0.225
B 0.468 0.213 0.245
Mg 0.221 0.221 0.490

Output
DFT formation energy	-0.746	eV/f.u.
symmetry	Cmce, No. 64

***

(15)
Here is a relaxed structure of TlTc2Mo from Alexandria via LeMat-Bulk. Energies are from GGA-PBE.

a b c (Å): 4.904 4.904 4.904
angles (deg): 130.75 130.75 72.21
Fractional positions:
Tl 0.250 0.750 0.500
Tc 0.500 0.500 0.000
Tc 0.000 0.000 0.000
Mo 0.750 0.250 0.500

Output
DFT formation energy	2.280	eV/f.u.
energy above the most stable polymorph in this dataset	0.675	eV/f.u.
symmetry	I4/mmm, No. 139

***

(16)
Here is a relaxed structure of Ce3YAl8 from Alexandria via LeMat-Bulk. Energies are from GGA-PBE.

a b c (Å): 5.620 5.620 9.070
angles (deg): 90.00 90.00 120.00
Site moments in Bohr magnetons follow the coordinates.
Fractional positions:
Y 0.000 0.000 0.570  -0.01
Al 0.333 0.667 0.999  0.00
Al 0.162 0.838 0.251  0.00
Al 0.162 0.324 0.251  0.00
Ce 0.667 0.333 0.087  0.38
Al 0.676 0.838 0.251  0.00
Al 0.333 0.667 0.499  0.00
Al 0.505 0.495 0.748  0.00
Ce 0.000 0.000 0.934  0.43
Al 0.505 0.010 0.748  0.00
Ce 0.667 0.333 0.413  0.26
Al 0.990 0.495 0.748  0.00

Output
DFT formation energy	-5.561	eV/f.u.
energy above the most stable polymorph in this dataset	0.082	eV/f.u.
symmetry	P3m1, No. 156

***

(17)
Here is a relaxed structure of Ta2BeW from Alexandria via LeMat-Bulk. Energies are from GGA-PBE.

a b c (Å): 4.511 2.780 5.156
angles (deg): 82.17 90.00 90.00
Fractional positions:
W 0.000 0.545 0.498
Ta 0.000 0.995 0.986
Ta 0.500 0.268 0.262
Be 0.500 0.692 0.754

Output
DFT formation energy	0.783	eV/f.u.
symmetry	Pm, No. 6

***

(18)
Here is a relaxed structure of Li4Mg5Ga2 from Alexandria via LeMat-Bulk. Energies are from GGA-PBE.

a b c (Å): 5.920 5.743 8.310
angles (deg): 77.57 69.13 58.98
Fractional positions:
Li 0.685 0.174 0.457
Li 0.723 0.698 0.856
Mg 0.749 0.194 0.810
Li 0.277 0.302 0.144
Mg 0.753 0.806 0.190
Ga 0.218 0.687 0.878
Li 0.315 0.826 0.543
Mg 0.000 0.500 0.500
Ga 0.782 0.313 0.122
Mg 0.247 0.194 0.810
Mg 0.251 0.806 0.190

Output
DFT formation energy	-1.007	eV/f.u.
energy above the most stable polymorph in this dataset	0.449	eV/f.u.
symmetry	C2/m, No. 12

***

(19)
Here is a relaxed structure of Cr2CdGePt from Alexandria via LeMat-Bulk. Energies are from GGA-PBE.

a b c (Å): 4.636 4.901 4.636
angles (deg): 90.00 90.00 90.00
Site moments in Bohr magnetons follow the coordinates.
Fractional positions:
Cd 0.000 0.500 0.000  -0.02
Pt 0.500 0.500 0.500  0.04
Cr 0.000 0.000 0.500  3.53
Cr 0.500 0.000 0.000  3.29
Ge 0.000 0.000 0.000  -0.15

Output
DFT formation energy	4.542	eV/f.u.
symmetry	P4/mmm, No. 123

***

(20)
Here is a relaxed structure of Ac3HIrRh from Alexandria via LeMat-Bulk. Energies are from GGA-PBE.

a b c (Å): 4.174 8.684 9.205
angles (deg): 101.34 90.00 90.00
Fractional positions:
Ac 0.250 0.790 0.492
Ac 0.250 0.096 0.855
Ir 0.250 0.665 0.174
Ac 0.250 0.587 0.838
Ac 0.750 0.904 0.145
Ac 0.750 0.413 0.162
H 0.250 0.078 0.574
Ac 0.750 0.210 0.508
Rh 0.750 0.830 0.766
Ir 0.750 0.335 0.826
Rh 0.250 0.170 0.234
H 0.750 0.922 0.426

Output
calculated total energy	-5.882	eV/atom
symmetry	P2_1/m, No. 11